A relaxed structure of LiVZn. Source: the Alexandria database, functional PBE-GGA.

## Properties
The calculation puts the formation energy at 0.103 eV per atom. For the polymorph energy (0 for the lowest one), the calculation gives 96 meV/atom.

```
LiVZn
1.0
2.573 0.000 -0.008
0.000 4.614 0.000
0.218 0.000 7.154
Zn V Li
2 2 2
Direct
0.500 0.000 0.000
0.500 0.500 0.500
0.126 0.500 0.145
0.874 0.500 0.855
0.133 0.000 0.669
0.867 0.000 0.331
```



A relaxed structure of In2AsCS. Source: the Alexandria database, functional PBE-GGA.

## Properties
Its formation energy without anion corrections is 912 meV/atom.

```
In2AsCS
1.0
5.655 0.000 0.000
0.000 3.523 0.000
0.000 0.000 5.655
S As In C
1 1 2 1
Direct
0.000 0.000 0.000
0.500 0.500 0.500
0.000 0.000 0.500
0.500 0.000 0.000
0.000 0.500 0.000
```



A relaxed structure of ThAlZn8Au2. Source: the Alexandria database, functional PBE-GGA.

## Properties
The calculation puts the formation energy at -0.139 eV per atom.

```
ThAlZn8Au2
1.0
4.747 -0.073 -0.477
2.125 4.245 -0.477
-0.548 -0.333 10.859
Zn Au Th Al
8 2 1 1
Direct
0.285 0.285 0.358
0.161 0.674 0.194
0.839 0.326 0.806
0.335 0.335 0.970
0.665 0.665 0.030
0.326 0.839 0.806
0.715 0.715 0.642
0.674 0.161 0.194
0.646 0.646 0.360
0.354 0.354 0.640
0.000 0.000 0.500
0.000 0.000 0.000
```



Total moment
In order: 0.00 0.00 0.00
Unit: μB per cell